[1]
! PBE-GGA BeRu2, relaxed; values from VASP
&SYSTEM
  ibrav = 0, nat = 12, ntyp = 2
/
ATOMIC_SPECIES
Be 9.01 Be.upf
Ru 101.07 Ru.upf
CELL_PARAMETERS angstrom
2.803 0.000 0.000
0.000 12.429 0.000
0.000 0.000 4.161
ATOMIC_POSITIONS crystal
Be 0.000 0.065 0.250
Be 0.000 0.935 0.750
Be 0.500 0.435 0.750
Be 0.500 0.565 0.250
Ru 0.000 0.274 0.750
Ru 0.000 0.408 0.250
Ru 0.000 0.592 0.750
Ru 0.000 0.726 0.250
Ru 0.500 0.092 0.750
Ru 0.500 0.226 0.250
Ru 0.500 0.774 0.750
Ru 0.500 0.908 0.250
! Formation energy: -0.33 eV/f.u.



[2]
! PBE-GGA BaScSe, relaxed; values from VASP
&SYSTEM
  ibrav = 0, nat = 12, ntyp = 3
/
ATOMIC_SPECIES
Ba 137.33 Ba.upf
Sc 44.96 Sc.upf
Se 78.96 Se.upf
CELL_PARAMETERS angstrom
7.699 0.000 0.000
0.000 7.699 0.000
0.000 0.000 7.699
ATOMIC_POSITIONS crystal
Ba 0.000 0.000 0.000
Ba 0.000 0.500 0.500
Ba 0.500 0.000 0.500
Ba 0.500 0.500 0.000
Sc 0.250 0.250 0.250
Sc 0.250 0.750 0.750
Sc 0.750 0.250 0.750
Sc 0.750 0.750 0.250
Se 0.250 0.250 0.750
Se 0.250 0.750 0.250
Se 0.750 0.250 0.250
Se 0.750 0.750 0.750
! Distance to the lowest polymorph of the same formula: 1077.7 meV/atom



[3]
! PBE-GGA SrAc2Cu2O6, relaxed; values from VASP
&SYSTEM
  ibrav = 0, nat = 11, ntyp = 4
/
ATOMIC_SPECIES
Sr 87.62 Sr.upf
Ac 227.00 Ac.upf
Cu 63.55 Cu.upf
O 16.00 O.upf
CELL_PARAMETERS angstrom
2.984 1.723 6.254
-2.984 1.723 6.254
0.000 -3.446 6.254
ATOMIC_POSITIONS crystal
Sr 0.000 0.000 0.000
Ac 0.200 0.200 0.200
Ac 0.800 0.800 0.800
Cu 0.429 0.429 0.429
Cu 0.571 0.571 0.571
O 0.207 0.745 0.745
O 0.255 0.255 0.793
O 0.255 0.793 0.255
O 0.745 0.207 0.745
O 0.745 0.745 0.207
O 0.793 0.255 0.255
! DFT total energy: -6.312 eV per atom



[4]
! PBE-GGA Nd4SeBr5, relaxed; values from VASP
&SYSTEM
  ibrav = 0, nat = 10, ntyp = 3
/
ATOMIC_SPECIES
Nd 144.24 Nd.upf
Se 78.96 Se.upf
Br 79.90 Br.upf
CELL_PARAMETERS angstrom
9.332 -2.053 0.000
9.332 2.053 0.000
-2.134 0.000 8.415
ATOMIC_POSITIONS crystal
Nd 0.002 0.002 0.275
Nd 0.346 0.346 0.425
Nd 0.654 0.654 0.575
Nd 0.998 0.998 0.725
Se 0.500 0.500 0.500
Br 0.164 0.164 0.833
Br 0.173 0.173 0.324
Br 0.500 0.500 0.000
Br 0.827 0.827 0.676
Br 0.836 0.836 0.167
! DFT total energy: -4.728 eV per atom



[5]
! PBE-GGA Be2AlCl, relaxed; values from VASP
&SYSTEM
  ibrav = 0, nat = 4, ntyp = 3
/
ATOMIC_SPECIES
Be 9.01 Be.upf
Al 26.98 Al.upf
Cl 35.45 Cl.upf
CELL_PARAMETERS angstrom
2.929 0.000 0.000
0.000 2.952 0.000
0.000 0.000 6.509
ATOMIC_POSITIONS crystal
Be 0.000 0.000 0.230
Be 0.000 0.000 0.770
Al 0.500 0.500 0.000
Cl 0.000 0.500 0.500
! Distance to the lowest polymorph of the same formula: 195.3 meV/atom



[6]
! PBE-GGA Ac6PtRh2Au3, relaxed; values from VASP
&SYSTEM
  ibrav = 0, nat = 12, ntyp = 4
/
ATOMIC_SPECIES
Ac 227.00 Ac.upf
Pt 195.08 Pt.upf
Rh 102.91 Rh.upf
Au 196.97 Au.upf
CELL_PARAMETERS angstrom
3.806 -6.583 0.000
3.806 6.583 0.000
-2.534 0.000 7.452
ATOMIC_POSITIONS crystal
Ac 0.085 0.424 0.774
Ac 0.235 0.235 0.223
Ac 0.424 0.085 0.774
Ac 0.576 0.915 0.226
Ac 0.765 0.765 0.777
Ac 0.915 0.576 0.226
Pt 0.500 0.500 0.000
Rh 0.167 0.833 0.000
Rh 0.833 0.167 0.000
Au 0.000 0.000 0.500
Au 0.337 0.663 0.500
Au 0.663 0.337 0.500
! Formation energy: -10.22 eV/f.u.



[7]
! PBE-GGA InReSbBr2, relaxed; values from VASP
&SYSTEM
  ibrav = 0, nat = 5, ntyp = 4
/
ATOMIC_SPECIES
In 114.82 In.upf
Re 186.21 Re.upf
Sb 121.76 Sb.upf
Br 79.90 Br.upf
CELL_PARAMETERS angstrom
5.280 0.000 0.000
0.000 5.280 0.000
0.000 0.000 5.999
ATOMIC_POSITIONS crystal
In 0.000 0.000 0.000
Re 0.500 0.500 0.500
Sb 0.000 0.000 0.500
Br 0.000 0.500 0.000
Br 0.500 0.000 0.000
! DFT total energy: -3.403 eV per atom



[8]
! PBE-GGA LuHfPtAu, relaxed; values from VASP
&SYSTEM
  ibrav = 0, nat = 16, ntyp = 4
/
ATOMIC_SPECIES
Lu 174.97 Lu.upf
Hf 178.49 Hf.upf
Pt 195.08 Pt.upf
Au 196.97 Au.upf
CELL_PARAMETERS angstrom
6.832 0.000 0.000
0.000 6.832 0.000
0.000 0.000 6.832
ATOMIC_POSITIONS crystal
Lu 0.000 0.000 0.000
Lu 0.000 0.500 0.500
Lu 0.500 0.000 0.500
Lu 0.500 0.500 0.000
Hf 0.000 0.000 0.500
Hf 0.000 0.500 0.000
Hf 0.500 0.000 0.000
Hf 0.500 0.500 0.500
Pt 0.250 0.250 0.750
Pt 0.250 0.750 0.250
Pt 0.750 0.250 0.250
Pt 0.750 0.750 0.750
Au 0.250 0.250 0.250
Au 0.250 0.750 0.750
Au 0.750 0.250 0.750
Au 0.750 0.750 0.250
! Formation energy: -3.45 eV/f.u.



Table of spin magnetization (Bohr magnetons per cell), in record order: 0.00; 8.32; 2.05; 0.00; 0.00; 0.00; 4.61; 0.00